PBE BaSr2Be, relaxed; total energy = -1.934 eV/atom; spin magnetization = 0.00 μB/f.u.; E_form = 319 meV per atom
1.0
-2.031 3.082 6.734
2.031 -3.082 6.734
2.031 3.082 -6.734
Ba Sr Be
1 2 1
Cartesian
0.000 0.000 0.000
2.031 0.000 4.291
0.000 3.082 2.443
0.000 0.000 6.734